The following is a DFT calculation (PBE) of a relaxed structure of PtN.

```
2
Lattice="2.850 1.670 0.657 -0.104 2.905 1.701 1.176 0.149 3.152" Properties=species:S:1:pos:R:3 pbc="T T T"
N 0.000 0.000 0.000
Pt 0.981 1.181 1.377
```

***

The following is a DFT calculation (PBE) of a relaxed structure of HoAgTe2PbSe.

```
12
Lattice="4.854 1.729 5.684 -5.379 2.457 -4.888 -7.531 -2.300 7.131" Properties=species:S:1:pos:R:3 pbc="T T T"
Te 0.870 1.868 2.329
Pb -3.398 0.189 8.342
Ho 0.000 0.000 0.000
Pb -4.658 1.697 -0.415
Te -8.925 0.019 5.598
Se -10.178 0.672 1.337
Te -2.127 0.953 5.166
Ag -6.169 0.387 5.479
Te -5.928 0.934 2.761
Ag -1.886 1.500 2.448
Ho -3.765 -1.150 3.565
Se 2.123 1.214 6.590
```

***

The following is a DFT calculation (PBE) of a relaxed structure of SiSn2Pd6.

```
9
Lattice="-5.651 -1.726 3.730 6.380 -1.466 2.443 0.103 3.088 1.585" Properties=species:S:1:pos:R:3 pbc="T T T"
Pd 2.436 -0.560 0.933
Pd -2.157 -0.659 1.424
Si 0.000 0.000 0.000
Pd 0.451 -1.973 3.816
Pd -4.211 0.242 3.606
Sn -1.589 -0.095 4.093
Pd 0.231 0.760 2.309
Pd 4.864 0.439 2.635
Sn 2.421 -0.008 3.664
```

***

The following is a DFT calculation (PBE) of a relaxed structure of LiTmNi4.

```
6
Lattice="3.479 -3.053 1.436 -1.108 -3.785 2.817 0.174 -4.495 -1.803" Properties=species:S:1:pos:R:3 pbc="T T T"
Ni 1.592 -7.089 1.532
Ni 2.148 -5.189 0.118
Ni 1.504 -4.832 2.437
Ni -0.155 -5.556 0.812
Tm 0.636 -2.833 0.612
Li 0.000 0.000 0.000
```

***

The following is a DFT calculation (PBE) of a relaxed structure of TbBe2.

```
6
Lattice="-3.552 -3.433 1.028 -4.199 -0.199 -2.791 -0.755 -3.870 -3.149" Properties=species:S:1:pos:R:3 pbc="T T T"
Tb 0.000 0.000 0.000
Be -3.540 -2.972 -3.584
Be -5.316 -4.689 -3.070
Tb -2.127 -1.876 -1.228
Be -4.939 -2.754 -1.495
Be -3.217 -4.589 -1.674
```

***

The following is a DFT calculation (PBE) of a relaxed structure of Ba2CuSi2Ge.

```
12
Lattice="0.000 5.016 7.343 4.245 0.000 7.343 4.245 5.016 0.000" Properties=species:S:1:pos:R:3 pbc="T T T"
Ba 4.245 7.588 7.343
Ba 4.245 2.443 7.343
Ba 2.122 2.508 3.672
Ba 6.367 7.523 11.015
Ge 4.245 5.016 2.440
Cu 4.245 5.016 9.728
Si 2.169 5.016 8.543
Ge 4.245 5.016 12.247
Si 6.320 5.016 6.144
Si 2.169 5.016 6.144
Si 6.320 5.016 8.543
Cu 4.245 5.016 4.959
```

***

The following is a DFT calculation (PBE) of a relaxed structure of Gd2YNi2C2N3.

```
10
Lattice="-1.743 1.743 9.804 1.743 -1.743 9.804 1.743 1.743 -9.804" Properties=species:S:1:pos:R:3 pbc="T T T"
C 0.000 0.000 3.737
Gd 0.000 0.000 12.281
Ni 1.743 0.000 4.902
N 0.000 0.000 9.804
C 0.000 0.000 15.872
N 0.000 0.000 17.271
Y 0.000 0.000 0.000
N 0.000 0.000 2.338
Gd 0.000 0.000 7.328
Ni 0.000 1.743 4.902
```

***

The following is a DFT calculation (PBE) of a relaxed structure of RbTmCdTe3.

```
12
Lattice="9.744 -2.240 0.000 9.744 2.240 0.000 -2.163 0.000 9.710" Properties=species:S:1:pos:R:3 pbc="T T T"
Te 0.000 0.000 0.000
Rb 15.732 0.000 4.206
Te 6.206 0.000 1.298
Te 12.408 0.000 2.743
Rb 1.594 0.000 5.505
Cd 9.570 0.000 2.125
Te 11.120 0.000 8.413
Te 8.663 0.000 4.855
Tm 14.105 0.000 8.950
Tm 3.221 0.000 0.760
Cd 7.755 0.000 7.585
Te 4.918 0.000 6.967
```

***

11
Lattice="-1.701 2.199 8.757 5.293 5.646 -4.953 -7.881 -3.562 3.102" Properties=species:S:1:pos:R:3 comment="ErTm4Lu2Ni2Te2 PBE relaxed" de_polymorph_ev_per_fu=0.080 pbc="T T T"
Tm -3.513 -0.177 0.805
Ni -7.068 -0.488 9.331
Te -3.952 1.150 6.818
Tm -4.504 1.184 3.721
Lu -1.877 2.635 1.682
Lu 0.932 3.035 -1.794
Tm -1.660 2.527 5.164
Te 1.215 2.654 1.287
Ni -2.006 0.232 3.065
Er 0.002 0.005 0.003
Tm 0.802 4.380 3.807

***

The following is a DFT calculation (PBE) of a relaxed structure of Tl2PdSe3.

```
12
Lattice="7.315 0.000 0.000 0.000 4.015 0.000 -0.323 0.000 10.196" Properties=species:S:1:pos:R:3 pbc="T T T"
Se 0.167 3.012 7.232
Tl 4.163 1.004 1.563
Tl 5.341 3.012 4.975
Se 4.337 1.004 7.038
Se 6.826 1.004 2.964
Se 5.661 3.012 10.021
Pd 0.524 3.012 1.624
Tl 2.829 3.012 8.633
Se 2.656 3.012 3.158
Tl 1.651 1.004 5.221
Pd 6.468 1.004 8.571
Se 1.332 1.004 0.174
```

***

The following is a DFT calculation (PBE) of a relaxed structure of AlBH6Os.

```
9
Lattice="1.531 -2.791 -2.827 -1.258 -4.065 0.126 -2.532 -1.541 -3.056" Properties=species:S:1:pos:R:3 pbc="T T T"
H -1.630 -6.364 -5.811
H -3.016 -6.997 -4.343
Al 0.000 0.000 0.000
H -2.391 -4.977 -4.406
H -1.758 -6.231 -2.824
H -0.997 -7.618 -4.229
Os -1.129 -4.198 -2.878
H -0.372 -5.598 -4.292
B -0.565 -2.099 -1.439
```

***

3
Lattice="-1.206 -1.807 4.565 -3.428 2.394 2.842 -4.540 -2.084 0.775" Properties=species:S:1:pos:R:3 comment="TbNdGe PBE relaxed" de_polymorph_ev_per_fu=2.773 pbc="T T T"
Ge -2.293 -0.374 2.045
Tb -6.880 -1.123 6.136
Nd 0.000 0.000 0.000

***

The following is a DFT calculation (PBE) of a relaxed structure of Tb2HoAl3Si2Pd.

```
9
Lattice="-0.111 3.261 2.735 -3.419 -3.915 4.530 6.892 0.157 0.093" Properties=species:S:1:pos:R:3 pbc="T T T"
Si 3.392 0.424 2.946
Tb 2.879 0.064 0.040
Si -0.026 -0.925 4.416
Ho 2.024 -2.190 2.694
Al 0.775 0.732 2.472
Al 4.230 -1.194 4.909
Tb -1.426 -1.636 1.893
Al 1.775 -2.163 5.965
Pd 3.467 -3.751 4.614
```

***

4
Lattice="0.000 3.254 3.254 3.254 0.000 3.254 3.254 3.254 0.000" Properties=species:S:1:pos:R:3 comment="ScBeIrPb PBE relaxed" de_polymorph_ev_per_fu=0.025 pbc="T T T"
Be 4.881 4.881 4.881
Sc 0.000 0.000 0.000
Ir 1.627 1.627 1.627
Pb 3.254 3.254 3.254

***

The following is a DFT calculation (PBE) of a relaxed structure of NdErAg2Bi4.

```
8
Lattice="-1.459 3.976 1.700 -4.212 -0.900 -1.510 -2.227 -4.662 8.989" Properties=species:S:1:pos:R:3 pbc="T T T"
Er -1.670 -3.497 6.742
Nd -3.400 0.355 2.376
Bi -4.637 -2.235 7.370
Bi -0.412 -0.862 1.662
Ag -2.947 -2.655 9.802
Bi -1.855 -0.367 5.392
Ag -4.323 -5.092 8.197
Bi -3.231 -2.805 3.787
```

***

24
Lattice="11.427 0.000 0.000 0.000 4.195 0.000 0.000 0.000 11.737" Properties=species:S:1:pos:R:3 comment="GdCuSnSe3 PBE relaxed" de_polymorph_ev_per_fu=0.168 pbc="T T T"
Se 1.168 3.146 6.585
Gd 5.515 1.049 9.571
Gd 5.912 3.146 2.166
Se 4.545 1.049 0.717
Sn 2.080 3.146 0.005
Se 2.542 1.049 9.532
Cu 8.659 3.146 9.342
Sn 3.633 1.049 5.873
Se 8.885 3.146 2.205
Cu 8.482 1.049 3.474
Se 10.259 1.049 5.151
Gd 11.228 1.049 8.034
Se 6.882 3.146 11.020
Sn 9.347 1.049 11.732
Se 3.171 3.146 3.663
Cu 2.768 1.049 2.394
Se 0.453 1.049 1.610
Se 6.166 1.049 4.258
Cu 2.945 3.146 8.262
Gd 0.199 3.146 3.702
Se 5.261 3.146 7.479
Se 8.256 1.049 8.073
Sn 7.794 3.146 5.863
Se 10.974 3.146 10.126

***

The following is a DFT calculation (PBE) of a relaxed structure of HfTlIr.

```
3
Lattice="-0.140 -4.071 -1.995 -3.877 -2.351 -0.086 -2.241 -0.535 -3.906" Properties=species:S:1:pos:R:3 pbc="T T T"
Hf -1.564 -1.739 -1.497
Ir -4.693 -5.218 -4.491
Tl 0.000 0.000 0.000
```

***

The following is a DFT calculation (PBE) of a relaxed structure of NbSbOs2.

```
4
Lattice="0.000 3.226 3.226 3.226 0.000 3.226 3.226 3.226 0.000" Properties=species:S:1:pos:R:3 pbc="T T T"
Nb 1.613 1.613 1.613
Os 4.840 4.840 4.840
Os 0.000 0.000 0.000
Sb 3.226 3.226 3.226
```

***

The following is a DFT calculation (PBE) of a relaxed structure of FeSb4Pd.

```
6
Lattice="5.787 0.000 0.000 0.000 3.458 0.000 -0.002 0.000 6.612" Properties=species:S:1:pos:R:3 pbc="T T T"
Pd 2.892 0.000 3.306
Sb 4.733 1.729 4.306
Sb 1.051 1.729 2.306
Fe 0.000 1.729 0.000
Sb 1.712 0.000 5.751
Sb 4.072 0.000 0.861
```

***

The following is a DFT calculation (PBE) of a relaxed structure of Sm2Pd2I.

```
5
Lattice="-2.328 3.624 -0.932 -0.257 -1.814 4.008 6.334 4.724 2.544" Properties=species:S:1:pos:R:3 pbc="T T T"
Sm 0.182 3.168 1.445
Pd 2.219 2.360 3.634
Pd 3.167 2.362 1.272
Sm 2.877 5.178 2.528
I -0.948 -0.001 2.362
```

***

3
Lattice="4.486 -1.018 -0.190 1.953 -2.438 3.382 1.346 -4.335 -0.769" Properties=species:S:1:pos:R:3 comment="NaHgOs PBE relaxed" de_polymorph_ev_per_fu=0.000 pbc="T T T"
Os 5.839 -5.843 1.816
Na 1.946 -1.948 0.605
Hg 0.000 0.000 0.000

***

The following is a DFT calculation (PBE) of a relaxed structure of TbCuNiGe2.

```
5
Lattice="5.455 -0.591 1.771 2.509 4.190 3.064 -4.907 -3.028 0.020" Properties=species:S:1:pos:R:3 pbc="T T T"
Ni 3.982 1.799 2.418
Tb 2.265 -0.910 2.104
Cu 0.000 0.000 0.000
Ge 1.783 1.928 3.352
Ge -0.198 1.033 2.150
```

***

13
Lattice="-2.127 -6.637 5.734 1.388 -3.786 8.075 -3.481 -2.283 8.008" Properties=species:S:1:pos:R:3 comment="Co6W7 PBE relaxed" de_polymorph_ev_per_fu=8.559 formation_enthalpy_0k_ev_per_atom=0.6165 pbc="T T T"
W -4.547 -9.747 15.958
Co -2.294 -6.906 11.859
W -1.413 -4.370 4.701
Co -2.751 -8.281 14.221
W 0.327 -2.959 5.860
W -2.084 -2.214 5.827
Co -1.926 -5.799 9.958
Co -3.516 -10.584 18.176
W -2.807 -8.335 17.116
Co -0.704 -2.121 3.642
W 0.000 0.000 0.000
W -2.137 -10.491 15.990
Co -1.470 -4.424 7.597

***

3
Lattice="4.259 0.057 2.958 1.760 4.482 1.925 -0.384 0.969 5.080" Properties=species:S:1:pos:R:3 comment="SmLuHf PBE relaxed" de_polymorph_ev_per_fu=0.000 formation_enthalpy_0k_ev_per_atom=0.8591 pbc="T T T"
Hf 0.000 0.000 0.000
Sm 4.226 4.131 7.473
Lu 1.409 1.377 2.491

***

The following is a DFT calculation (PBE) of a relaxed structure of TmPb2IBrO2.

```
7
Lattice="-2.006 -4.467 4.631 1.929 -4.273 4.842 -0.479 8.209 1.408" Properties=species:S:1:pos:R:3 pbc="T T T"
Br -0.192 -2.447 5.845
Tm -0.006 0.067 0.050
O -0.515 0.620 9.059
I -0.356 1.846 4.964
O -0.042 -1.144 1.842
Pb -0.390 4.684 2.981
Pb -0.166 -5.218 7.903
```

***

The records above yield final energy values of -6.07; -4.27; -5.57; -5.14; -3.93; -4.29; -7.88; -3.57; -5.13; -3.69; -3.83; -4.33; -5.36; -5.70; -4.37; -4.73; -6.51; -8.69; -5.20; -5.07; -2.95; -5.23; -9.64; -5.54; -5.01 eV per atom, respectively.